## La2Al12Ni3Ag (GGA-PBE)

Data for an optimized crystal structure of La2Al12Ni3Ag.

Values from the calculation:
The formation energy comes out at 0.014 eV per atom. As for the crystal system: trigonal. Its density of states at the Fermi level is 0.5310 states/eV/atom. The volume comes out at 1113.3 Å³/cell. Its total moment is 0.000 μB/atom.

Lattice parameters (Å, degrees): 8.2269 8.2269 18.9941 90.00 90.00 120.00
Last column: nearest neighbours and their distance in Å.
Space group R-3m (No. 166, hexagonal axes)
Asymmetric unit:
La 0.0000 0.0000 0.0814 [6 per cell]  6 Al 3.05-3.13, 1 La 3.09
Al 0.0767 0.5384 0.8764 [18 per cell]  1 Ni 2.41
Al 0.0997 0.5499 0.2810 [18 per cell]  2 Ni 2.33
Ni 0.0000 0.5000 0.0000 [9 per cell]  6 Al 2.33-2.41
Ag 0.0000 0.0000 0.5000 [3 per cell]  12 Al 2.74-3.03